{"formula": "BeZnIr", "functional": "GGA-PBE", "state": "optimized geometry", "lattice_angstrom": [[0.000, 2.821, 2.821], [2.821, 0.000, 2.821], [2.821, 2.821, 0.000]], "species": ["Be", "Ir", "Zn"], "fractional_positions": [[0.250, 0.250, 0.250], [0.000, 0.000, 0.000], [0.750, 0.750, 0.750]], "dft_energy_ev_per_atom": -4.486, "volume_a3_per_atom": 15.0, "space_group": "No. 216"}